1.
The following is a DFT calculation (PBE-GGA) of a relaxed HoCu3P2 crystal.

Results
Mass density   7.75 Mg/m³
Size of the total moment   0.0 μB per cell
Electronic total energy   -29.9 eV/cell
Space group   P-3m1

Unit cell a=3.975 b=3.975 c=6.532 alpha=90.00 beta=90.00 gamma=120.00
Positions (direct):
Cu  0.333  0.667  0.337
Cu  0.000  0.000  0.500
Cu  0.667  0.333  0.663
Ho  0.000  0.000  0.000
P  0.667  0.333  0.257
P  0.333  0.667  0.743

---

2.
The following is a DFT calculation (PBE-GGA) of a relaxed PrHoCu2P4 crystal.

Results
Mass density   6.59 Mg/m³
Size of the total moment   0.0 μB per cell
Electronic total energy   -45.2 eV/cell
Space group   P4mm

Unit cell a=3.764 b=3.764 c=9.900 alpha=90.00 beta=90.00 gamma=90.00
Positions (direct):
Cu  0.500  0.000  0.504
Cu  0.000  0.500  0.504
Ho  0.000  0.000  0.766
P  0.000  0.000  0.356
P  0.500  0.500  0.656
P  0.500  0.000  0.991
P  0.000  0.500  0.991
Pr  0.500  0.500  0.231

---

3.
The following is a DFT calculation (PBE-GGA) of a relaxed TbHoCu2P4 crystal.

Results
Mass density   7.11 Mg/m³
Size of the total moment   0.0 μB per cell
Electronic total energy   -45.3 eV/cell
Space group   P4mm

Unit cell a=3.718 b=3.718 c=9.712 alpha=90.00 beta=90.00 gamma=90.00
Positions (direct):
Cu  0.500  0.000  0.500
Cu  0.000  0.500  0.500
Ho  0.000  0.000  0.768
P  0.000  0.000  0.346
P  0.500  0.500  0.655
P  0.500  0.000  0.999
P  0.000  0.500  0.999
Tb  0.500  0.500  0.232

---

4.
The following is a DFT calculation (PBE-GGA) of a relaxed YHoCu2P4 crystal.

Results
Mass density   6.25 Mg/m³
Size of the total moment   0.0 μB per cell
Electronic total energy   -47.1 eV/cell
Space group   P4mm

Unit cell a=3.716 b=3.716 c=9.717 alpha=90.00 beta=90.00 gamma=90.00
Positions (direct):
Cu  0.500  0.000  0.999
Cu  0.000  0.500  0.999
Ho  0.000  0.000  0.731
P  0.000  0.000  0.155
P  0.500  0.000  0.501
P  0.000  0.500  0.501
P  0.500  0.500  0.843
Y  0.500  0.500  0.269

---

Which value of electronic total energy does entry 2 give? -45.2 eV/cell

---

The highest mass density belongs to which entry? HoCu3P2